VASP calculation (PBE) on crystalline Sm2HoSb3Rh4 at its relaxed geometry.

For the formation energy from raw total energies, the calculation gives -852.6 meV per atom. The value obtained for the density is 9.434 Mg/m³. The value obtained for the magnetization is 0.000 μB per atom. The calculation puts the total energy at -6.43 eV per atom.

a = 4.3608 Å, b = 4.3608 Å, c = 11.5011 Å
α = 90.00°, β = 90.00°, γ = 90.00°
Space group P-4m2 (No. 115)
One atom of each set of equivalent atoms:
1 Sm 0.0000 0.5000 0.2249 (multiplicity 2)
2 Ho 0.0000 0.0000 0.5000 (multiplicity 1)
3 Sb 0.0000 0.5000 0.8681 (multiplicity 2)
4 Sb 0.5000 0.5000 0.5000 (multiplicity 1)
5 Rh 0.0000 0.0000 0.0000 (multiplicity 1)
6 Rh 0.0000 0.5000 0.6457 (multiplicity 2)
7 Rh 0.5000 0.5000 0.0000 (multiplicity 1)